Model a:
The following is a DFT calculation (GGA-PBE) of a relaxed structure of Co2BP.

Properties
crystal system: tetragonal

Lattice parameters (Å, degrees): 5.7199 5.7199 5.7199 131.98 131.98 70.26
Sites, in units of the cell vectors:
Co 0.0788 0.6250 0.9538
Co 0.3750 0.3288 0.4538
Co 0.6712 0.1250 0.0462
Co 0.8750 0.9212 0.5462
B 0.0000 0.0000 0.0000
B 0.7500 0.2500 0.5000
P 0.2500 0.7500 0.5000
P 0.5000 0.5000 0.0000



Model b:
The following is a DFT calculation (GGA-PBE) of a relaxed structure of Co2BP.

Properties
crystal system: cubic

Lattice parameters (Å, degrees): 3.7502 3.7502 3.7502 60.00 60.00 60.00
Sites, in units of the cell vectors:
Co 0.2500 0.2500 0.2500
Co 0.7500 0.7500 0.7500
B 0.0000 0.0000 0.0000
P 0.5000 0.5000 0.5000



Which structure is the least stable? The one labeled model a.



Model a:
The following is a DFT calculation (GGA-PBE) of a relaxed structure of CoBP2S.

Properties
crystal system: tetragonal

Lattice parameters (Å, degrees): 3.9520 3.9520 4.1631 90.00 90.00 90.00
Sites, in units of the cell vectors:
Co 0.0000 0.0000 0.0000
B 0.5000 0.5000 0.5000
P 0.0000 0.5000 0.5000
P 0.5000 0.0000 0.5000
S 0.5000 0.5000 0.0000



Model b:
The following is a DFT calculation (GGA-PBE) of a relaxed structure of CoBP2S.

Properties
crystal system: tetragonal

Lattice parameters (Å, degrees): 4.1491 4.1491 4.9427 90.00 90.00 90.00
Sites, in units of the cell vectors:
Co 0.0000 0.0000 0.0000
B 0.5000 0.5000 0.5000
P 0.0000 0.5000 0.0000
P 0.5000 0.0000 0.0000
S 0.0000 0.0000 0.5000



Which structure is the least stable? The one labeled model b.



Model a:
The following is a DFT calculation (GGA-PBE) of a relaxed structure of CoBPS2.

Properties
crystal system: tetragonal

Lattice parameters (Å, degrees): 4.1198 4.1198 3.9140 90.00 90.00 90.00
Sites, in units of the cell vectors:
Co 0.0000 0.0000 0.0000
B 0.5000 0.5000 0.5000
P 0.5000 0.5000 0.0000
S 0.0000 0.5000 0.5000
S 0.5000 0.0000 0.5000



Model b:
The following is a DFT calculation (GGA-PBE) of a relaxed structure of CoBPS2.

Properties
crystal system: tetragonal

Lattice parameters (Å, degrees): 4.5831 4.5831 4.1056 90.00 90.00 90.00
Sites, in units of the cell vectors:
Co 0.0000 0.0000 0.0000
B 0.5000 0.5000 0.5000
P 0.0000 0.0000 0.5000
S 0.0000 0.5000 0.0000
S 0.5000 0.0000 0.0000



Which structure is the least stable? The one labeled model b.



Model a:
The following is a DFT calculation (GGA-PBE) of a relaxed structure of PaCo2B.

Properties
crystal system: tetragonal

Lattice parameters (Å, degrees): 3.5664 3.5664 8.3959 90.00 90.00 90.00
Sites, in units of the cell vectors:
Pa 0.2500 0.2500 0.2281
Pa 0.7500 0.7500 0.7719
Co 0.2500 0.2500 0.8837
Co 0.2500 0.7500 0.5000
Co 0.7500 0.2500 0.5000
Co 0.7500 0.7500 0.1163
B 0.2500 0.2500 0.6286
B 0.7500 0.7500 0.3714



Model b:
The following is a DFT calculation (GGA-PBE) of a relaxed structure of PaCo2B.

Properties
crystal system: trigonal

Lattice parameters (Å, degrees): 6.5797 6.5797 6.5797 28.05 28.05 28.05
Sites, in units of the cell vectors:
Pa 0.0000 0.0000 0.0000
Co 0.1217 0.1217 0.1217
Co 0.8783 0.8783 0.8783
B 0.5000 0.5000 0.5000



Which structure is the least stable? The one labeled model b.



Model a:
The following is a DFT calculation (GGA-PBE) of a relaxed structure of Pa2CoB.

Properties
crystal system: trigonal

Lattice parameters (Å, degrees): 8.1110 8.1110 8.1110 23.69 23.69 23.69
Sites, in units of the cell vectors:
Pa 0.1001 0.1001 0.1001
Pa 0.8999 0.8999 0.8999
Co 0.0000 0.0000 0.0000
B 0.5000 0.5000 0.5000



Model b:
The following is a DFT calculation (GGA-PBE) of a relaxed structure of Pa2CoB.

Properties
crystal system: monoclinic

Lattice parameters (Å, degrees): 5.4471 3.5301 7.3557 90.00 109.82 90.00
Sites, in units of the cell vectors:
Pa 0.1921 0.2500 0.4183
Pa 0.2143 0.2500 0.9391
Pa 0.7857 0.7500 0.0609
Pa 0.8079 0.7500 0.5817
Co 0.3955 0.7500 0.2351
Co 0.6045 0.2500 0.7649
B 0.3653 0.7500 0.7192
B 0.6347 0.2500 0.2808



Which structure is the least stable? The one labeled model a.



Model a:
The following is a DFT calculation (GGA-PBE) of a relaxed structure of PaCo3B.

Properties
crystal system: hexagonal

Lattice parameters (Å, degrees): 5.7234 5.7234 8.6648 90.00 90.00 120.00
Sites, in units of the cell vectors:
Pa 0.0000 0.0000 0.0000
Pa 0.0000 0.0000 0.5000
Pa 0.3333 0.6667 0.2500
Pa 0.6667 0.3333 0.7500
Co 0.0000 0.5000 0.0000
Co 0.0000 0.5000 0.5000
Co 0.1534 0.3068 0.7500
Co 0.1534 0.8466 0.7500
Co 0.3068 0.1534 0.2500
Co 0.5000 0.0000 0.0000
Co 0.5000 0.0000 0.5000
Co 0.5000 0.5000 0.0000
Co 0.5000 0.5000 0.5000
Co 0.6932 0.8466 0.7500
Co 0.8466 0.1534 0.2500
Co 0.8466 0.6932 0.2500
B 0.3333 0.6667 0.6418
B 0.3333 0.6667 0.8582
B 0.6667 0.3333 0.1418
B 0.6667 0.3333 0.3582



Model b:
The following is a DFT calculation (GGA-PBE) of a relaxed structure of PaCo3B.

Properties
crystal system: orthorhombic

Lattice parameters (Å, degrees): 5.6081 5.6081 5.6081 114.44 91.64 123.90
Sites, in units of the cell vectors:
Pa 0.2506 0.0006 0.2500
Pa 0.7494 0.9994 0.7500
Co 0.2495 0.4995 0.7500
Co 0.2497 0.0000 0.7497
Co 0.2497 0.5000 0.2497
Co 0.7503 0.0000 0.2503
Co 0.7503 0.5000 0.7503
Co 0.7505 0.5005 0.2500
B 0.0000 0.5000 0.5000
B 0.5000 0.5000 0.0000



Which structure is the least stable? The one labeled model a.



Model a:
The following is a DFT calculation (GGA-PBE) of a relaxed structure of PaCo3B3.

Properties
crystal system: hexagonal

Lattice parameters (Å, degrees): 7.6909 7.6909 3.2754 90.00 90.00 120.00
Sites, in units of the cell vectors:
Pa 0.3333 0.6667 0.2500
Pa 0.6667 0.3333 0.7500
Co 0.0856 0.3446 0.7500
Co 0.2590 0.9144 0.7500
Co 0.3446 0.2590 0.2500
Co 0.6554 0.7410 0.7500
Co 0.7410 0.0856 0.2500
Co 0.9144 0.6554 0.2500
B 0.0406 0.6046 0.7500
B 0.3954 0.4360 0.7500
B 0.4360 0.0406 0.2500
B 0.5640 0.9594 0.7500
B 0.6046 0.5640 0.2500
B 0.9594 0.3954 0.2500



Model b:
The following is a DFT calculation (GGA-PBE) of a relaxed structure of PaCo3B3.

Properties
crystal system: trigonal

Lattice parameters (Å, degrees): 7.2847 7.2847 7.2847 42.08 42.08 42.08
Sites, in units of the cell vectors:
Pa 0.1635 0.1635 0.1635
Pa 0.8365 0.8365 0.8365
Co 0.0597 0.6091 0.1938
Co 0.1938 0.0597 0.6091
Co 0.3909 0.8062 0.9403
Co 0.6091 0.1938 0.0597
Co 0.8062 0.9403 0.3909
Co 0.9403 0.3909 0.8062
B 0.2147 0.5998 0.3999
B 0.3999 0.2147 0.5998
B 0.4002 0.6001 0.7853
B 0.5998 0.3999 0.2147
B 0.6001 0.7853 0.4002
B 0.7853 0.4002 0.6001



Which structure is the least stable? The one labeled model b.



Model a:
The following is a DFT calculation (GGA-PBE) of a relaxed structure of PaCo4B4.

Properties
crystal system: tetragonal

Lattice parameters (Å, degrees): 5.0290 5.0290 7.0220 90.00 90.00 90.00
Sites, in units of the cell vectors:
Pa 0.2500 0.7500 0.2500
Pa 0.7500 0.2500 0.7500
Co 0.0012 0.2500 0.1122
Co 0.2500 0.0012 0.6122
Co 0.2500 0.4988 0.6122
Co 0.4988 0.2500 0.1122
Co 0.5012 0.7500 0.8878
Co 0.7500 0.5012 0.3878
Co 0.7500 0.9988 0.3878
Co 0.9988 0.7500 0.8878
B 0.0768 0.2500 0.4087
B 0.2500 0.0768 0.9087
B 0.2500 0.4232 0.9087
B 0.4232 0.2500 0.4087
B 0.5768 0.7500 0.5913
B 0.7500 0.5768 0.0913
B 0.7500 0.9232 0.0913
B 0.9232 0.7500 0.5913



Model b:
The following is a DFT calculation (GGA-PBE) of a relaxed structure of PaCo4B4.

Properties
crystal system: tetragonal

Lattice parameters (Å, degrees): 6.9674 6.9674 3.8181 90.00 90.00 90.00
Sites, in units of the cell vectors:
Pa 0.2500 0.2500 0.2500
Pa 0.7500 0.7500 0.7500
Co 0.1060 0.6307 0.1440
Co 0.1307 0.8940 0.6440
Co 0.3693 0.6060 0.6440
Co 0.3940 0.8693 0.1440
Co 0.6060 0.1307 0.8560
Co 0.6307 0.3940 0.3560
Co 0.8693 0.1060 0.3560
Co 0.8940 0.3693 0.8560
B 0.0457 0.9105 0.1458
B 0.0895 0.5457 0.6458
B 0.4105 0.9543 0.6458
B 0.4543 0.5895 0.1458
B 0.5457 0.4105 0.8542
B 0.5895 0.0457 0.3542
B 0.9105 0.4543 0.3542
B 0.9543 0.0895 0.8542



Which structure is the least stable? The one labeled model b.